{"formula": "Ce3DyZn8", "functional": "GGA-PBE", "state": "relaxed", "ef_ev_per_fu": -3.32, "crystal_system": "trigonal", "e_above_lowest_polymorph_mev_per_atom": 7, "dos_ef_per_ev_atom": 1.380, "total_energy_ev_per_cell": -35.92, "cell": [[5.6163, 0.0000, 0.0000], [-2.8082, 4.8639, 0.0000], [0.0000, 0.0000, 8.5495]], "species": ["Ce", "Ce", "Ce", "Dy", "Zn", "Zn", "Zn", "Zn", "Zn", "Zn", "Zn", "Zn"], "frac_coords": [[0.0000, 0.0000, 0.0000], [0.0000, 0.0000, 0.3383], [0.3333, 0.6667, 0.8644], [0.3333, 0.6667, 0.4877], [0.0000, 0.5000, 0.1751], [0.3259, 0.1630, 0.6698], [0.5000, 0.0000, 0.1751], [0.5000, 0.5000, 0.1751], [0.6667, 0.3333, 0.4236], [0.6667, 0.3333, 0.9201], [0.8370, 0.1630, 0.6698], [0.8370, 0.6741, 0.6698]]}